Entry 1:
# PBE Er2ZrTa, relaxed
data_Er2ZrTa
_chemical_formula_sum 'Er6 Zr3 Ta3'
_cell_length_a 3.1903
_cell_length_b 3.1903
_cell_length_c 33.7357
_cell_angle_alpha 90.00
_cell_angle_beta 90.00
_cell_angle_gamma 120.00
_symmetry_space_group_name_H-M 'R -3 m'
_symmetry_Int_Tables_number 166
_symmetry_space_group_name_Hall '-R 3 2"'
loop_
_atom_site_label
_atom_site_type_symbol
_atom_site_fract_x
_atom_site_fract_y
_atom_site_fract_z
Er1 Er 0.0000 0.0000 0.0873
Zr1 Zr 0.0000 0.0000 0.5000
Ta1 Ta 0.0000 0.0000 0.0000
# M_tot	1.62	μB per cell
# DOS(E_F)	16.4	states/eV per cell
# ρ	10.2	Mg/m³
# calculated total energy	-82.07	eV/cell

Entry 2:
# PBE Tb5Er4, relaxed
data_Tb5Er4
_chemical_formula_sum 'Tb10 Er8'
_cell_length_a 11.703
_cell_length_b 10.591
_cell_length_c 4.980
_cell_angle_alpha 90.00
_cell_angle_beta 115.10
_cell_angle_gamma 90.00
_symmetry_space_group_name_H-M 'C 1 2/m 1'
_symmetry_Int_Tables_number 12
loop_
_symmetry_equiv_pos_as_xyz
'x,y,z'
'-x,-y,-z'
'-x,y,-z'
'x,-y,z'
'x+1/2,y+1/2,z'
'-x+1/2,-y+1/2,-z'
'-x+1/2,y+1/2,-z'
'x+1/2,-y+1/2,z'
loop_
_atom_site_label
_atom_site_type_symbol
_atom_site_fract_x
_atom_site_fract_y
_atom_site_fract_z
Tb1 Tb 0.000 0.000 0.000
Tb2 Tb 0.000 0.333 0.000
Tb3 Tb 0.167 0.500 0.667
Er1 Er 0.167 0.167 0.667
# M_tot	0.00	μB per cell
# DOS(E_F)	25.3	states/eV per cell
# ρ	8.7	Mg/m³
# calculated total energy	-82.46	eV/cell

Entry 3:
# PBE Tb3Er13, relaxed
data_Tb3Er13
_chemical_formula_sum 'Tb6 Er26'
_cell_length_a 9.911
_cell_length_b 9.919
_cell_length_c 9.922
_cell_angle_alpha 90.00
_cell_angle_beta 90.00
_cell_angle_gamma 90.00
_symmetry_space_group_name_H-M 'A m m 2'
_symmetry_Int_Tables_number 38
loop_
_symmetry_equiv_pos_as_xyz
'x,y,z'
'-x,-y,z'
'-x,y,z'
'x,-y,z'
'x,y+1/2,z+1/2'
'-x,-y+1/2,z+1/2'
'-x,y+1/2,z+1/2'
'x,-y+1/2,z+1/2'
loop_
_atom_site_label
_atom_site_type_symbol
_atom_site_fract_x
_atom_site_fract_y
_atom_site_fract_z
Tb1 Tb 0.000 0.000 0.000
Tb2 Tb 0.250 0.000 0.251
Er1 Er 0.000 0.000 0.501
Er2 Er 0.000 0.249 0.750
Er3 Er 0.251 0.000 0.750
Er4 Er 0.251 0.250 0.000
Er5 Er 0.500 0.000 0.000
Er6 Er 0.500 0.000 0.501
Er7 Er 0.500 0.250 0.250
# M_tot	0.00	μB per cell
# DOS(E_F)	35.8	states/eV per cell
# offset from the most stable computed form	0.27	eV/f.u.
# ρ	9.0	Mg/m³
# calculated total energy	-145.83	eV/cell